The following is a DFT calculation (PBE-GGA) of a relaxed LiPaGa2 crystal.

Output
ρ	7.9	g/cm³
formation energy from the elements	-0.203	eV per atom
E_tot	-4.57	eV per atom

Unit cell a=6.808 b=6.808 c=6.808 alpha=90.00 beta=90.00 gamma=90.00
Space group Fm-3m (No. 225)
Inequivalent atoms, fractional coordinates:
Li 0.000 0.000 0.000 (multiplicity 4)
Pa 0.000 0.000 0.500 (multiplicity 4)
Ga 0.250 0.250 0.250 (multiplicity 8)